# 1
Material: Sr2CrNi
Method: DFT, GGA-PBE
State: optimized geometry Values from VASP.

Results
Magnetic moment = 4.3 μB/cell
DFT formation energy = 0.311 eV/atom

Geometry as Quantum ESPRESSO input:
```
&SYSTEM
  ibrav = 0, nat = 4, ntyp = 3
/
ATOMIC_SPECIES
Sr 87.62 Sr.upf
Cr 52.00 Cr.upf
Ni 58.69 Ni.upf
ATOMIC_POSITIONS angstrom
Sr 0.000 0.000 0.000
Sr 2.142 0.000 3.330
Cr 0.000 0.000 8.100
Ni 2.142 0.000 7.004
CELL_PARAMETERS angstrom
4.285 0.000 0.000
0.000 2.363 5.864
0.000 -2.363 5.864
```



# 2
Material: MgTlInPb2
Method: DFT, GGA-PBE
State: optimized geometry Values from VASP.

Results
Magnetic moment = 0.0 μB/cell
DFT formation energy = 0.307 eV/atom

Geometry as Quantum ESPRESSO input:
```
&SYSTEM
  ibrav = 0, nat = 5, ntyp = 4
/
ATOMIC_SPECIES
Mg 24.30 Mg.upf
Tl 204.38 Tl.upf
In 114.82 In.upf
Pb 207.20 Pb.upf
ATOMIC_POSITIONS angstrom
Mg 0.000 0.000 0.000
Tl 0.000 0.000 2.745
In 2.797 2.797 2.745
Pb 0.000 2.797 0.000
Pb 2.797 0.000 0.000
CELL_PARAMETERS angstrom
5.593 0.000 0.000
0.000 5.593 0.000
0.000 0.000 5.491
```



Copy entry 2 word for word.
Material: MgTlInPb2
Method: DFT, GGA-PBE
State: optimized geometry Values from VASP.

Results
Magnetic moment = 0.0 μB/cell
DFT formation energy = 0.307 eV/atom

Geometry as Quantum ESPRESSO input:
```
&SYSTEM
  ibrav = 0, nat = 5, ntyp = 4
/
ATOMIC_SPECIES
Mg 24.30 Mg.upf
Tl 204.38 Tl.upf
In 114.82 In.upf
Pb 207.20 Pb.upf
ATOMIC_POSITIONS angstrom
Mg 0.000 0.000 0.000
Tl 0.000 0.000 2.745
In 2.797 2.797 2.745
Pb 0.000 2.797 0.000
Pb 2.797 0.000 0.000
CELL_PARAMETERS angstrom
5.593 0.000 0.000
0.000 5.593 0.000
0.000 0.000 5.491
```



> Among the records above, which one has the highest DFT formation energy?

Sr2CrNi